Below is a relaxed LiCdCl2 crystal, with properties calculated at the PBE-GGA level.

POSCAR file:
```
LiCdCl2
1.0
3.878 -0.039 -0.022
2.333 3.098 -0.022
1.339 0.659 7.242
Cd Cl Li
1 2 1
Direct
0.750 0.750 0.750 Cd
0.944 0.944 0.051 Cl
0.556 0.556 0.449 Cl
0.250 0.250 0.250 Li
```

The total magnetic moment is 0.0 Bohr magnetons per cell. The density of states at the Fermi level is 0.46 states/eV/atom. The calculation puts the theoretical density at 3.60 g/cm³. Its space group is C2/m (12). The calculation puts the raw formation energy at -1.045 eV/atom. The total DFT energy (no corrections) is -2.676 eV/atom. For the energy relative to the lowest polymorph listed for this composition, the calculation gives 0.06 eV per formula unit.

---

Below is a relaxed Pm2SiF crystal, with properties calculated at the PBE-GGA level.

POSCAR file:
```
Pm2SiF
1.0
3.983 0.000 0.000
1.991 3.449 0.000
1.991 1.150 6.944
Pm Si F
2 1 1
Direct
0.082 0.082 0.753 Pm
0.257 0.257 0.229 Pm
0.669 0.669 0.993 Si
0.492 0.492 0.525 F
```

The total magnetic moment is 0.0 Bohr magnetons per cell. The density of states at the Fermi level is 0.58 states/eV/atom. The calculation puts the theoretical density at 5.87 g/cm³. Its space group is R3m (160). The calculation puts the raw formation energy at -1.406 eV/atom. The total DFT energy (no corrections) is -5.605 eV/atom. For the energy relative to the lowest polymorph listed for this composition, the calculation gives 0.88 eV per formula unit.

---

Below is a relaxed SrLa14Ho crystal, with properties calculated at the PBE-GGA level.

POSCAR file:
```
SrLa14Ho
1.0
7.498 -0.016 0.000
0.016 7.498 0.000
0.000 0.000 10.514
Sr La Ho
1 14 1
Direct
0.875 0.875 0.500 Sr
0.875 0.875 0.000 La
0.375 0.375 0.000 La
0.875 0.375 0.500 La
0.875 0.375 0.000 La
0.375 0.875 0.500 La
0.375 0.875 0.000 La
0.615 0.135 0.245 La
0.615 0.135 0.755 La
0.135 0.615 0.245 La
0.135 0.615 0.755 La
0.615 0.615 0.245 La
0.615 0.615 0.755 La
0.135 0.135 0.245 La
0.135 0.135 0.755 La
0.375 0.375 0.500 Ho
```

The total magnetic moment is 0.0 Bohr magnetons per cell. The density of states at the Fermi level is 1.63 states/eV/atom. The calculation puts the theoretical density at 6.17 g/cm³. Its space group is P4/mmm (123). For the formation energy, the calculation gives 0.04 eV per atom. The total DFT energy (no corrections) is -4.666 eV/atom.

---

Below is a relaxed Rb2TlCdCl6 crystal, with properties calculated at the PBE-GGA level.

POSCAR file:
```
Rb2TlCdCl6
1.0
7.663 0.000 0.000
0.000 7.663 0.000
3.831 3.831 5.431
Tl Cl Rb Cd
1 6 2 1
Direct
0.000 0.000 0.000 Tl
0.258 0.258 0.485 Cl
0.742 0.742 0.515 Cl
0.258 0.258 0.000 Cl
0.742 0.742 0.000 Cl
0.742 0.258 0.000 Cl
0.258 0.742 0.000 Cl
0.750 0.250 0.500 Rb
0.250 0.750 0.500 Rb
0.500 0.500 0.000 Cd
```

The total magnetic moment is 0.0 Bohr magnetons per cell. The density of states at the Fermi level is 0.23 states/eV/atom. The calculation puts the theoretical density at 3.65 g/cm³. Its space group is I4/mmm (139). The calculation puts the raw formation energy at -1.330 eV/atom. The total DFT energy (no corrections) is -2.960 eV/atom.